*1*
Computed, not measured: crystalline MoO at its relaxed geometry at the PBE with a Hubbard U level of DFT.

Properties
Symmetry: F-43m (216)
DOS at the Fermi energy: 0.7 states/eV/cell
M_tot: 2.0 μB per formula unit

The structure in POSCAR format:
```
MoO
1.0
0.000 2.424 2.424
2.424 0.000 2.424
2.424 2.424 0.000
Mo O
1 1
direct
0.000 0.000 0.000
0.250 0.250 0.250
```


*2*
Computed, not measured: crystalline MoO at its relaxed geometry at the PBE with a Hubbard U level of DFT.

Properties
Symmetry: I4/m (87)
DOS at the Fermi energy: 2.8 states/eV/cell
M_tot: 0.3 μB per formula unit

The structure in POSCAR format:
```
MoO
1.0
-4.335 4.335 1.472
4.335 -4.335 1.472
4.335 4.335 -1.472
Mo O
4 4
direct
0.096 0.666 0.762
0.334 0.096 0.430
0.666 0.904 0.570
0.904 0.334 0.238
0.119 0.229 0.348
0.229 0.881 0.109
0.771 0.119 0.891
0.881 0.771 0.652
```


Least stable = *1*


*1*
Computed, not measured: crystalline MoO4 at its relaxed geometry at the PBE with a Hubbard U level of DFT.

Properties
Symmetry: Pm-3m (221)
DOS at the Fermi energy: 3.1 states/eV/cell
M_tot: 2.2 μB per formula unit

The structure in POSCAR format:
```
MoO4
1.0
3.874 0.000 0.000
0.000 3.874 0.000
0.000 0.000 3.874
Mo O
1 4
direct
0.000 0.000 0.000
0.000 0.000 0.500
0.000 0.500 0.000
0.500 0.000 0.000
0.500 0.500 0.500
```


*2*
Computed, not measured: crystalline MoO4 at its relaxed geometry at the PBE with a Hubbard U level of DFT.

Properties
Symmetry: P-43m (215)
DOS at the Fermi energy: 4.7 states/eV/cell
M_tot: 2.0 μB per formula unit

The structure in POSCAR format:
```
MoO4
1.0
4.282 0.000 0.000
0.000 4.282 0.000
0.000 0.000 4.282
Mo O
1 4
direct
0.000 0.000 0.000
0.243 0.243 0.243
0.243 0.757 0.757
0.757 0.243 0.757
0.757 0.757 0.243
```


Least stable = *1*


*1*
Computed, not measured: crystalline MoO4 at its relaxed geometry at the PBE with a Hubbard U level of DFT.

Properties
Symmetry: C2/m (12)
M_tot: 0.0 μB per formula unit

The structure in POSCAR format:
```
MoO4
1.0
10.546 -1.869 0.000
10.546 1.869 0.000
-0.015 0.000 3.741
Mo O
2 8
direct
0.100 0.100 0.253
0.900 0.900 0.747
0.011 0.621 0.744
0.080 0.080 0.753
0.379 0.989 0.256
0.429 0.429 0.747
0.571 0.571 0.253
0.621 0.011 0.744
0.920 0.920 0.247
0.989 0.379 0.256
```


*2*
Computed, not measured: crystalline MoO4 at its relaxed geometry at the PBE with a Hubbard U level of DFT.

Properties
Symmetry: P-1 (2)
M_tot: 1.0 μB per formula unit

The structure in POSCAR format:
```
MoO4
1.0
3.496 0.000 0.000
-1.377 7.307 0.000
-1.270 -3.403 7.359
Mo O
2 8
direct
0.059 0.468 0.196
0.941 0.532 0.804
0.040 0.315 0.309
0.091 0.700 0.033
0.373 0.412 0.747
0.390 0.937 0.515
0.610 0.063 0.485
0.627 0.588 0.253
0.909 0.300 0.967
0.960 0.685 0.691
```


Least stable = *1*


*1*
Computed, not measured: crystalline Mo3O10 at its relaxed geometry at the PBE with a Hubbard U level of DFT.

Properties
Symmetry: Aea2 (41)
DOS at the Fermi energy: 0.7 states/eV/cell
M_tot: 2.0 μB per formula unit

The structure in POSCAR format:
```
Mo3O10
1.0
7.349 0.000 0.000
0.000 4.073 6.712
0.000 -4.073 6.712
Mo O
6 20
direct
0.000 0.000 0.000
0.245 0.784 0.696
0.255 0.284 0.196
0.500 0.500 0.500
0.745 0.196 0.284
0.755 0.696 0.784
0.000 0.258 0.258
0.000 0.698 0.698
0.008 0.164 0.736
0.184 0.081 0.096
0.191 0.896 0.845
0.248 0.484 0.970
0.252 0.984 0.470
0.309 0.396 0.345
0.316 0.581 0.596
0.492 0.664 0.236
0.500 0.198 0.198
0.500 0.758 0.758
0.508 0.236 0.664
0.684 0.596 0.581
0.691 0.345 0.396
0.748 0.470 0.984
0.752 0.970 0.484
0.809 0.845 0.896
0.816 0.096 0.081
0.992 0.736 0.164
```


*2*
Computed, not measured: crystalline Mo3O10 at its relaxed geometry at the PBE with a Hubbard U level of DFT.

Properties
Symmetry: P6_3/m (176)
DOS at the Fermi energy: 2.3 states/eV/cell
M_tot: 1.2 μB per formula unit

The structure in POSCAR format:
```
Mo3O10
1.0
11.139 0.000 0.000
-5.570 9.647 0.000
0.000 0.000 3.688
Mo O
6 20
direct
0.112 0.465 0.250
0.354 0.888 0.250
0.465 0.354 0.750
0.535 0.646 0.250
0.646 0.112 0.750
0.888 0.535 0.750
0.000 0.000 0.250
0.000 0.000 0.750
0.020 0.289 0.250
0.080 0.505 0.750
0.218 0.716 0.250
0.269 0.980 0.250
0.284 0.503 0.250
0.289 0.269 0.750
0.425 0.920 0.750
0.495 0.575 0.750
0.497 0.782 0.250
0.503 0.218 0.750
0.505 0.425 0.250
0.575 0.080 0.250
0.711 0.731 0.250
0.716 0.497 0.750
0.731 0.020 0.750
0.782 0.284 0.750
0.920 0.495 0.250
0.980 0.711 0.750
```


Least stable = *1*


*1*
Computed, not measured: crystalline Mo2OsO at its relaxed geometry at the PBE with a Hubbard U level of DFT.

Properties
Symmetry: Fm-3m (225)
DOS at the Fermi energy: 2.7 states/eV/cell
M_tot: 3.9 μB per formula unit

The structure in POSCAR format:
```
Mo2OsO
1.0
0.000 3.088 3.088
3.088 0.000 3.088
3.088 3.088 0.000
Mo Os O
2 1 1
direct
0.250 0.250 0.250
0.750 0.750 0.750
0.000 0.000 0.000
0.500 0.500 0.500
```


*2*
Computed, not measured: crystalline Mo2OsO at its relaxed geometry at the PBE with a Hubbard U level of DFT.

Properties
Symmetry: I-42d (122)
DOS at the Fermi energy: 1.8 states/eV/cell
M_tot: 2.1 μB per formula unit

The structure in POSCAR format:
```
Mo2OsO
1.0
-2.753 2.753 4.599
2.753 -2.753 4.599
2.753 2.753 -4.599
Mo Os O
4 2 2
direct
0.061 0.625 0.936
0.375 0.311 0.436
0.689 0.125 0.064
0.875 0.939 0.564
0.250 0.750 0.500
0.500 0.500 0.000
0.000 0.000 0.000
0.750 0.250 0.500
```


Least stable = *1*


*1*
Computed, not measured: crystalline MoOs3O at its relaxed geometry at the PBE with a Hubbard U level of DFT.

Properties
Symmetry: Pm-3m (221)
DOS at the Fermi energy: 4.6 states/eV/cell
M_tot: 5.2 μB per formula unit

The structure in POSCAR format:
```
MoOs3O
1.0
4.743 0.000 0.000
0.000 4.743 0.000
0.000 0.000 4.743
Mo Os O
1 3 1
direct
0.000 0.000 0.000
0.000 0.000 0.500
0.000 0.500 0.000
0.500 0.000 0.000
0.500 0.500 0.500
```


*2*
Computed, not measured: crystalline MoOs3O at its relaxed geometry at the PBE with a Hubbard U level of DFT.

Properties
Symmetry: Pm-3m (221)
DOS at the Fermi energy: 4.6 states/eV/cell
M_tot: 1.7 μB per formula unit

The structure in POSCAR format:
```
MoOs3O
1.0
4.114 0.000 0.000
0.000 4.114 0.000
0.000 0.000 4.114
Mo Os O
1 3 1
direct
0.000 0.000 0.000
0.000 0.500 0.500
0.500 0.000 0.500
0.500 0.500 0.000
0.500 0.500 0.500
```


Least stable = *1*


*1*
Computed, not measured: crystalline MoP2OsO at its relaxed geometry at the PBE with a Hubbard U level of DFT.

Properties
Symmetry: P4/mmm (123)
DOS at the Fermi energy: 4.1 states/eV/cell
M_tot: 3.7 μB per formula unit

The structure in POSCAR format:
```
MoP2OsO
1.0
4.831 0.000 0.000
0.000 4.831 0.000
0.000 0.000 3.656
Mo P Os O
1 2 1 1
direct
0.000 0.000 0.000
0.000 0.500 0.500
0.500 0.000 0.500
0.500 0.500 0.500
0.500 0.500 0.000
```


*2*
Computed, not measured: crystalline MoP2OsO at its relaxed geometry at the PBE with a Hubbard U level of DFT.

Properties
Symmetry: P4/mmm (123)
DOS at the Fermi energy: 3.6 states/eV/cell
M_tot: 3.1 μB per formula unit

The structure in POSCAR format:
```
MoP2OsO
1.0
4.833 0.000 0.000
0.000 4.833 0.000
0.000 0.000 3.682
Mo P Os O
1 2 1 1
direct
0.000 0.000 0.000
0.000 0.500 0.000
0.500 0.000 0.000
0.500 0.500 0.500
0.000 0.000 0.500
```


Least stable = *2*


*1*
Computed, not measured: crystalline Mo2PO at its relaxed geometry at the PBE with a Hubbard U level of DFT.

Properties
Symmetry: Fm-3m (225)
DOS at the Fermi energy: 1.6 states/eV/cell
M_tot: 3.0 μB per formula unit

The structure in POSCAR format:
```
Mo2PO
1.0
0.000 2.961 2.961
2.961 0.000 2.961
2.961 2.961 0.000
Mo P O
2 1 1
direct
0.250 0.250 0.250
0.750 0.750 0.750
0.000 0.000 0.000
0.500 0.500 0.500
```


*2*
Computed, not measured: crystalline Mo2PO at its relaxed geometry at the PBE with a Hubbard U level of DFT.

Properties
Symmetry: I-42d (122)
DOS at the Fermi energy: 1.7 states/eV/cell
M_tot: 4.0 μB per formula unit

The structure in POSCAR format:
```
Mo2PO
1.0
-2.580 2.580 5.238
2.580 -2.580 5.238
2.580 2.580 -5.238
Mo P O
4 2 2
direct
0.075 0.625 0.950
0.375 0.325 0.450
0.675 0.125 0.050
0.875 0.925 0.550
0.250 0.750 0.500
0.500 0.500 0.000
0.000 0.000 0.000
0.750 0.250 0.500
```


Least stable = *1*


*1*
Computed, not measured: crystalline MoP3O at its relaxed geometry at the PBE with a Hubbard U level of DFT.

Properties
Symmetry: Pm-3m (221)
DOS at the Fermi energy: 3.3 states/eV/cell
M_tot: 0.0 μB per formula unit

The structure in POSCAR format:
```
MoP3O
1.0
4.618 0.000 0.000
0.000 4.618 0.000
0.000 0.000 4.618
Mo P O
1 3 1
direct
0.000 0.000 0.000
0.000 0.000 0.500
0.000 0.500 0.000
0.500 0.000 0.000
0.500 0.500 0.500
```


*2*
Computed, not measured: crystalline MoP3O at its relaxed geometry at the PBE with a Hubbard U level of DFT.

Properties
Symmetry: Pm-3m (221)
DOS at the Fermi energy: 1.8 states/eV/cell
M_tot: 2.6 μB per formula unit

The structure in POSCAR format:
```
MoP3O
1.0
4.171 0.000 0.000
0.000 4.171 0.000
0.000 0.000 4.171
Mo P O
1 3 1
direct
0.000 0.000 0.000
0.000 0.500 0.500
0.500 0.000 0.500
0.500 0.500 0.000
0.500 0.500 0.500
```


Least stable = *1*


*1*
Computed, not measured: crystalline MoPPdO2 at its relaxed geometry at the PBE with a Hubbard U level of DFT.

Properties
Symmetry: P4/mmm (123)
DOS at the Fermi energy: 3.8 states/eV/cell
M_tot: 2.1 μB per formula unit

The structure in POSCAR format:
```
MoPPdO2
1.0
3.917 0.000 0.000
0.000 3.917 0.000
0.000 0.000 4.918
Mo P Pd O
1 1 1 2
direct
0.000 0.000 0.000
0.500 0.500 0.000
0.500 0.500 0.500
0.000 0.500 0.500
0.500 0.000 0.500
```


*2*
Computed, not measured: crystalline MoPPdO2 at its relaxed geometry at the PBE with a Hubbard U level of DFT.

Properties
Symmetry: P4/mmm (123)
DOS at the Fermi energy: 2.4 states/eV/cell
M_tot: 0.7 μB per formula unit

The structure in POSCAR format:
```
MoPPdO2
1.0
3.767 0.000 0.000
0.000 3.767 0.000
0.000 0.000 5.415
Mo P Pd O
1 1 1 2
direct
0.000 0.000 0.000
0.000 0.000 0.500
0.500 0.500 0.500
0.000 0.500 0.000
0.500 0.000 0.000
```


Least stable = *1*


*1*
Computed, not measured: crystalline MoP2PtO at its relaxed geometry at the PBE with a Hubbard U level of DFT.

Properties
Symmetry: P4/mmm (123)
DOS at the Fermi energy: 5.8 states/eV/cell
M_tot: 2.9 μB per formula unit

The structure in POSCAR format:
```
MoP2PtO
1.0
4.859 0.000 0.000
0.000 4.859 0.000
0.000 0.000 3.758
Mo P Pt O
1 2 1 1
direct
0.000 0.000 0.000
0.000 0.500 0.500
0.500 0.000 0.500
0.500 0.500 0.500
0.500 0.500 0.000
```


*2*
Computed, not measured: crystalline MoP2PtO at its relaxed geometry at the PBE with a Hubbard U level of DFT.

Properties
Symmetry: P4/mmm (123)
DOS at the Fermi energy: 2.7 states/eV/cell
M_tot: 1.0 μB per formula unit

The structure in POSCAR format:
```
MoP2PtO
1.0
4.845 0.000 0.000
0.000 4.845 0.000
0.000 0.000 3.712
Mo P Pt O
1 2 1 1
direct
0.000 0.000 0.000
0.000 0.500 0.000
0.500 0.000 0.000
0.500 0.500 0.500
0.000 0.000 0.500
```


Least stable = *1*


*1*
Computed, not measured: crystalline MoP2RhO at its relaxed geometry at the PBE with a Hubbard U level of DFT.

Properties
Symmetry: P4/mmm (123)
DOS at the Fermi energy: 4.3 states/eV/cell
M_tot: 0.6 μB per formula unit

The structure in POSCAR format:
```
MoP2RhO
1.0
4.782 0.000 0.000
0.000 4.782 0.000
0.000 0.000 3.714
Mo P Rh O
1 2 1 1
direct
0.000 0.000 0.000
0.000 0.500 0.000
0.500 0.000 0.000
0.500 0.500 0.500
0.000 0.000 0.500
```


*2*
Computed, not measured: crystalline MoP2RhO at its relaxed geometry at the PBE with a Hubbard U level of DFT.

Properties
Symmetry: P4/mmm (123)
DOS at the Fermi energy: 2.3 states/eV/cell
M_tot: 2.9 μB per formula unit

The structure in POSCAR format:
```
MoP2RhO
1.0
4.818 0.000 0.000
0.000 4.818 0.000
0.000 0.000 3.667
Mo P Rh O
1 2 1 1
direct
0.000 0.000 0.000
0.000 0.500 0.500
0.500 0.000 0.500
0.500 0.500 0.500
0.500 0.500 0.000
```


Least stable = *2*